--- i ---
Compound: ZrZnCoCu
Source: OQMD
Functional: GGA-PBE
Structure: optimized geometry

The structure belongs to space group F-43m (No. 216); the cell edges are 6.165, 6.165 and 6.165 Å and the angles 90.00°, 90.00° and 90.00°. The distinct sites, in fractional coordinates, are Zr at (0.000, 0.000, 0.000), Zn at (0.250, 0.250, 0.250), Co at (0.250, 0.250, 0.750) and Cu at (0.000, 0.000, 0.500).

---

--- ii ---
Compound: ZrZnCoCu
Source: OQMD
Functional: GGA-PBE
Structure: optimized geometry

The structure belongs to space group F-43m (No. 216); the cell edges are 6.145, 6.145 and 6.145 Å and the angles 90.00°, 90.00° and 90.00°. The distinct sites, in fractional coordinates, are Zr at (0.000, 0.000, 0.000), Zn at (0.000, 0.000, 0.500), Co at (0.250, 0.250, 0.750) and Cu at (0.250, 0.250, 0.250).

---

How far above the most stable structure does each one sit? In eV/atom: i 0.124; ii 0.000.

---

--- i ---
Compound: Dy2Co17
Source: OQMD
Functional: GGA-PBE
Structure: optimized geometry

The structure belongs to space group R-3m (No. 166, hexagonal axes); the cell edges are 8.2566, 8.2566 and 12.0347 Å and the angles 90.00°, 90.00° and 120.00°. The distinct sites, in fractional coordinates, are Dy at (0.0000, 0.0000, 0.1558), Co at (0.0000, 0.0000, 0.4034), Co at (0.0000, 0.2888, 0.5000), Co at (0.0000, 0.5000, 0.0000) and Co at (0.0025, 0.5013, 0.3472).

---

--- ii ---
Compound: Dy2Co17
Source: OQMD
Functional: GGA-PBE
Structure: optimized geometry

The structure belongs to space group R-3m (No. 166, hexagonal axes); the cell edges are 8.2578, 8.2578 and 12.0494 Å and the angles 90.00°, 90.00° and 120.00°. The distinct sites, in fractional coordinates, are Dy at (0.0000, 0.0000, 0.1561), Co at (0.0000, 0.0000, 0.4035), Co at (0.0000, 0.2887, 0.5000), Co at (0.0000, 0.5000, 0.0000) and Co at (0.0018, 0.5009, 0.3479).

---

How far above the most stable structure does each one sit? In eV/atom: i 0.000; ii 0.183.

---

--- i ---
Compound: Dy2Co17
Source: OQMD
Functional: GGA-PBE
Structure: optimized geometry

The structure belongs to space group P6_3/mmc (No. 194); the cell edges are 8.2484, 8.2484 and 8.0487 Å and the angles 90.00°, 90.00° and 120.00°. The distinct sites, in fractional coordinates, are Dy at (0.0000, 0.0000, 0.2500), Dy at (0.3333, 0.6667, 0.2500), Co at (0.0000, 0.5000, 0.0000), Co at (0.0462, 0.3749, 0.7500), Co at (0.1664, 0.3328, 0.0216) and Co at (0.3333, 0.6667, 0.6061).

---

--- ii ---
Compound: Dy2Co17
Source: OQMD
Functional: GGA-PBE
Structure: optimized geometry

The structure belongs to space group R-3m (No. 166, hexagonal axes); the cell edges are 8.2578, 8.2578 and 12.0493 Å and the angles 90.00°, 90.00° and 120.00°. The distinct sites, in fractional coordinates, are Dy at (0.0000, 0.0000, 0.1561), Co at (0.0000, 0.0000, 0.4035), Co at (0.0000, 0.2887, 0.5000), Co at (0.0000, 0.5000, 0.0000) and Co at (0.0018, 0.5009, 0.3479).

---

How far above the most stable structure does each one sit? In eV/atom: i 0.000; ii 0.182.